{"formula": "V8Si2W", "functional": "GGA-PBE", "state": "optimized geometry", "cell": [[6.583, -2.444, 0.000], [6.583, 2.444, 0.000], [-0.276, 0.000, 4.747]], "species": ["V", "V", "V", "V", "V", "V", "V", "V", "Si", "Si", "W"], "fractional_positions": [[0.085, 0.085, 0.098], [0.154, 0.658, 0.405], [0.294, 0.294, 0.887], [0.342, 0.846, 0.595], [0.658, 0.154, 0.405], [0.706, 0.706, 0.113], [0.846, 0.342, 0.595], [0.915, 0.915, 0.902], [0.241, 0.241, 0.373], [0.759, 0.759, 0.627], [0.500, 0.500, 0.000]], "total_energy_ev_per_cell": -98.463, "volume_a3_per_atom": 13.9, "raw_formation_energy_mev_per_atom": -156, "total_magnetization_mub_per_fu": 0.0, "density_g_cm3": 7.0, "sg": "C2/m"}

***

{"formula": "V5Si5W", "functional": "GGA-PBE", "state": "optimized geometry", "cell": [[5.779, -2.343, 0.000], [5.779, 2.343, 0.000], [-1.806, 0.000, 5.961]], "species": ["V", "V", "V", "V", "V", "Si", "Si", "Si", "Si", "Si", "W"], "fractional_positions": [[0.000, 0.000, 0.000], [0.349, 0.349, 0.135], [0.400, 0.400, 0.782], [0.600, 0.600, 0.218], [0.651, 0.651, 0.865], [0.190, 0.190, 0.789], [0.197, 0.197, 0.387], [0.500, 0.500, 0.500], [0.803, 0.803, 0.613], [0.810, 0.810, 0.211], [0.000, 0.000, 0.500]], "total_energy_ev_per_cell": -84.620, "volume_a3_per_atom": 14.7, "raw_formation_energy_mev_per_atom": 95, "total_magnetization_mub_per_fu": 0.7, "density_g_cm3": 6.0, "sg": "C2/m"}

***

{"formula": "VSi2W2", "functional": "GGA-PBE", "state": "optimized geometry", "cell": [[-1.662, 1.662, 6.834], [1.662, -1.662, 6.834], [1.662, 1.662, -6.834]], "species": ["V", "Si", "Si", "W", "W"], "fractional_positions": [[0.000, 0.000, 0.000], [0.250, 0.750, 0.500], [0.750, 0.250, 0.500], [0.393, 0.393, 0.000], [0.607, 0.607, 0.000]], "e_above_lowest_polymorph_mev_per_atom": 262.5, "total_energy_ev_per_cell": -45.341, "volume_a3_per_atom": 15.1, "raw_formation_energy_mev_per_atom": 106, "total_magnetization_mub_per_fu": 0.0, "density_g_cm3": 10.4, "sg": "I4/mmm"}